No. 1
Compound: KRe2Hg
Source: the Alexandria database
Functional: SCAN
Structure: single point on PBEsol structure

Cell lengths 3.8275, 3.8275, 10.4124 Å; angles 90.00, 90.00, 90.00 degrees
Fractional positions:
K  0.0000  0.0000  0.0000
K  0.5000  0.5000  0.5000
Re  0.0000  0.5000  0.2500
Re  0.0000  0.5000  0.7500
Re  0.5000  0.0000  0.2500
Re  0.5000  0.0000  0.7500
Hg  0.0000  0.0000  0.5000
Hg  0.5000  0.5000  0.0000

V in A^3/atom: 19.07
Energy in eV/atom: -53.0384
SG: I4/mmm (139)
DFT formation energy in meV/atom: 1634
Crystal system: tetragonal

No. 2
Compound: KRe2Hg
Source: the Alexandria database
Functional: SCAN
Structure: single point on PBEsol structure

Cell lengths 2.8676, 2.8676, 31.4213 Å; angles 90.00, 90.00, 120.00 degrees
Fractional positions:
K  0.0000  0.0000  0.0000
K  0.3333  0.6667  0.6667
K  0.6667  0.3333  0.3333
Re  0.0000  0.0000  0.2394
Re  0.0000  0.0000  0.5090
Re  0.3333  0.6667  0.1757
Re  0.3333  0.6667  0.9060
Re  0.6667  0.3333  0.5727
Re  0.6667  0.3333  0.8424
Hg  0.0000  0.0000  0.7618
Hg  0.3333  0.6667  0.4284
Hg  0.6667  0.3333  0.0951

V in A^3/atom: 18.65
Energy in eV/atom: -54.0334
SG: R3m (160)
DFT formation energy in meV/atom: 639
Crystal system: trigonal

No. 3
Compound: KRe2Hg
Source: the Alexandria database
Functional: SCAN
Structure: single point on PBEsol structure

Cell lengths 2.9873, 4.7165, 10.6119 Å; angles 90.00, 90.00, 90.00 degrees
Fractional positions:
K  0.0000  0.0000  0.0000
K  0.5000  0.5000  0.0000
Re  0.0000  0.0000  0.4691
Re  0.0000  0.5000  0.2735
Re  0.5000  0.0000  0.2735
Re  0.5000  0.5000  0.4691
Hg  0.0000  0.5000  0.7157
Hg  0.5000  0.0000  0.7157

V in A^3/atom: 18.69
Energy in eV/atom: -53.8981
SG: Cmm2 (35)
DFT formation energy in meV/atom: 774
Crystal system: orthorhombic

No. 4
Compound: KReHg4
Source: the Alexandria database
Functional: SCAN
Structure: single point on PBEsol structure

Cell lengths 5.7778, 5.7778, 5.7778 Å; angles 60.00, 60.00, 60.00 degrees
Fractional positions:
K  0.0000  0.0000  0.0000
Re  0.7500  0.7500  0.7500
Hg  0.3756  0.3756  0.3756
Hg  0.3756  0.3756  0.8732
Hg  0.3756  0.8732  0.3756
Hg  0.8732  0.3756  0.3756

V in A^3/atom: 22.73
Energy in eV/atom: -57.8655
SG: F-43m (216)
DFT formation energy in meV/atom: 816
Crystal system: cubic

No. 5
Compound: KReHg
Source: the Alexandria database
Functional: SCAN
Structure: single point on PBEsol structure

Cell lengths 5.2132, 5.2132, 2.6742 Å; angles 90.00, 90.00, 120.00 degrees
Fractional positions:
K  0.0000  0.0000  0.0000
Re  0.3333  0.6667  0.5000
Hg  0.6667  0.3333  0.5000

V in A^3/atom: 20.98
Energy in eV/atom: -47.9013
SG: P-6m2 (187)
DFT formation energy in meV/atom: 1296
Crystal system: hexagonal

No. 6
Compound: KHg2Rh
Source: the Alexandria database
Functional: SCAN
Structure: single point on PBEsol structure

Cell lengths 3.0894, 4.4217, 14.7846 Å; angles 90.00, 90.00, 90.00 degrees
Fractional positions:
K  0.0000  0.0000  0.0000
K  0.5000  0.5000  0.5000
Hg  0.0000  0.0000  0.3486
Hg  0.0000  0.5000  0.1835
Hg  0.5000  0.0000  0.6835
Hg  0.5000  0.5000  0.8486
Rh  0.0000  0.5000  0.6959
Rh  0.5000  0.0000  0.1959

V in A^3/atom: 25.24
Energy in eV/atom: -44.6315
Energy above the lowest structure with this stoichiometry in meV/atom: 0
SG: Imm2 (44)
DFT formation energy in meV/atom: -23
Crystal system: orthorhombic

No. 7
Compound: KHg2Rh
Source: the Alexandria database
Functional: SCAN
Structure: single point on PBEsol structure

Cell lengths 3.2604, 3.2604, 8.2727 Å; angles 90.00, 90.00, 90.00 degrees
Fractional positions:
K  0.0000  0.0000  0.0000
Hg  0.5000  0.5000  0.3062
Hg  0.5000  0.5000  0.6938
Rh  0.0000  0.0000  0.5000

V in A^3/atom: 21.99
Energy in eV/atom: -44.5558
Energy above the lowest structure with this stoichiometry in meV/atom: 76
SG: P4/mmm (123)
DFT formation energy in meV/atom: 52
Crystal system: tetragonal

No. 8
Compound: KHg2Rh
Source: the Alexandria database
Functional: SCAN
Structure: single point on PBEsol structure

Cell lengths 3.6526, 3.6526, 7.6078 Å; angles 90.00, 90.00, 90.00 degrees
Fractional positions:
K  0.0000  0.0000  0.0000
Hg  0.0000  0.0000  0.4205
Hg  0.5000  0.5000  0.6928
Rh  0.5000  0.5000  0.3364

V in A^3/atom: 25.38
Energy in eV/atom: -44.5340
Energy above the lowest structure with this stoichiometry in meV/atom: 97
SG: P4mm (99)
DFT formation energy in meV/atom: 74
Crystal system: tetragonal

No. 9
Compound: KHg3Rh
Source: the Alexandria database
Functional: SCAN
Structure: single point on PBEsol structure

Cell lengths 5.2000, 5.2000, 5.2000 Å; angles 90.00, 90.00, 90.00 degrees
Fractional positions:
K  0.0000  0.0000  0.0000
Hg  0.0000  0.5000  0.5000
Hg  0.5000  0.0000  0.5000
Hg  0.5000  0.5000  0.0000
Rh  0.5000  0.5000  0.5000

V in A^3/atom: 28.12
Energy in eV/atom: -49.5387
SG: Pm-3m (221)
DFT formation energy in meV/atom: -219
Crystal system: cubic

No. 10
Compound: KHgRu2Rh
Source: the Alexandria database
Functional: SCAN
Structure: single point on PBEsol structure

Cell lengths 4.3493, 4.3493, 5.1106 Å; angles 90.00, 90.00, 90.00 degrees
Fractional positions:
K  0.0000  0.0000  0.0000
Hg  0.0000  0.0000  0.5000
Ru  0.0000  0.5000  0.0000
Ru  0.5000  0.0000  0.0000
Rh  0.5000  0.5000  0.5000

V in A^3/atom: 19.34
Energy in eV/atom: -33.2255
SG: P4/mmm (123)
DFT formation energy in meV/atom: 2758
Crystal system: tetragonal

No. 11
Compound: KSrHgRh2
Source: the Alexandria database
Functional: SCAN
Structure: single point on PBEsol structure

Cell lengths 4.8166, 4.8166, 5.4302 Å; angles 90.00, 90.00, 90.00 degrees
Fractional positions:
K  0.0000  0.0000  0.0000
Sr  0.5000  0.5000  0.5000
Hg  0.0000  0.0000  0.5000
Rh  0.0000  0.5000  0.0000
Rh  0.5000  0.0000  0.0000

V in A^3/atom: 25.20
Energy in eV/atom: -32.1563
SG: P4/mmm (123)
DFT formation energy in meV/atom: 1106
Crystal system: tetragonal

No. 12
Compound: KHgRu2
Source: the Alexandria database
Functional: SCAN
Structure: single point on PBEsol structure

Cell lengths 2.8848, 4.7476, 10.3772 Å; angles 90.00, 90.00, 90.00 degrees
Fractional positions:
K  0.0000  0.0000  0.0000
K  0.5000  0.5000  0.0000
Hg  0.0000  0.0000  0.5000
Hg  0.5000  0.5000  0.5000
Ru  0.0000  0.5000  0.2708
Ru  0.0000  0.5000  0.7292
Ru  0.5000  0.0000  0.2708
Ru  0.5000  0.0000  0.7292

V in A^3/atom: 17.77
Energy in eV/atom: -35.5130
SG: Cmmm (65)
DFT formation energy in meV/atom: 1024
Crystal system: orthorhombic